This record from the Alexandria database describes Zr4Al2Cu after structural relaxation. The functional is PBE-GGA.

ΔE to the lowest computed polymorph: 0 meV per atom
E_form: -2.07 eV/f.u.
space-group type: Cm
volume: 135.90 Å³/cell
magnetic moment: 0.00 μB per cell

POSCAR file:
```
Zr4Al2Cu
1.0
-1.406 -2.742 0.207
2.565 -1.229 1.204
-3.970 1.333 13.793
Zr Al Cu
4 2 1
Direct
0.001 0.001 0.046 Zr
0.289 0.289 0.470 Zr
0.147 0.147 0.756 Zr
0.418 0.418 0.210 Zr
0.575 0.575 0.899 Al
0.719 0.719 0.611 Al
0.853 0.853 0.340 Cu
```

***

This record from the Alexandria database describes ZrAl3Cu after structural relaxation. The functional is PBE-GGA.

ΔE to the lowest computed polymorph: 0 meV per atom
E_form: -1.40 eV/f.u.
space-group type: Pm-3m
volume: 247.19 Å³/cell
magnetic moment: 0.00 μB per cell

POSCAR file:
```
ZrAl3Cu
1.0
6.276 0.000 0.000
0.000 6.276 0.000
0.000 0.000 6.276
Cu Zr Al
3 3 9
Direct
0.500 0.000 0.000 Cu
0.000 0.500 0.000 Cu
0.000 0.000 0.500 Cu
0.000 0.500 0.500 Zr
0.500 0.000 0.500 Zr
0.500 0.500 0.000 Zr
0.500 0.500 0.500 Al
0.217 0.217 0.217 Al
0.783 0.783 0.217 Al
0.783 0.217 0.783 Al
0.217 0.783 0.783 Al
0.217 0.217 0.783 Al
0.783 0.783 0.783 Al
0.217 0.783 0.217 Al
0.783 0.217 0.217 Al
```

***

This record from the Alexandria database describes Zr2AlCu2 after structural relaxation. The functional is PBE-GGA.

E_form: -1.43 eV/f.u.
space-group type: C2/c
volume: 172.18 Å³/cell
magnetic moment: 0.00 μB per cell

POSCAR file:
```
Zr2AlCu2
1.0
-3.430 -1.932 3.504
-4.726 -1.692 -1.604
1.124 -7.251 -0.626
Al Cu Zr
2 4 4
Direct
0.172 0.828 0.750 Al
0.828 0.172 0.250 Al
0.264 0.003 0.003 Cu
0.997 0.736 0.497 Cu
0.736 0.997 0.997 Cu
0.003 0.264 0.503 Cu
0.486 0.218 0.644 Zr
0.782 0.514 0.856 Zr
0.514 0.782 0.356 Zr
0.218 0.486 0.144 Zr
```

***

This record from the Alexandria database describes ZrAlCu3 after structural relaxation. The functional is PBE-GGA.

ΔE to the lowest computed polymorph: 101 meV per atom
E_form: -0.53 eV/f.u.
space-group type: Pm-3m
volume: 235.30 Å³/cell
magnetic moment: 0.00 μB per cell

POSCAR file:
```
ZrAlCu3
1.0
-1.633 -2.465 -5.419
1.271 -5.634 2.180
-5.816 -0.539 1.998
Cu Zr Al
9 3 3
Direct
0.500 0.500 0.500 Cu
0.268 0.268 0.268 Cu
0.732 0.732 0.268 Cu
0.732 0.268 0.732 Cu
0.268 0.732 0.732 Cu
0.268 0.268 0.732 Cu
0.732 0.732 0.732 Cu
0.268 0.732 0.268 Cu
0.732 0.268 0.268 Cu
0.500 0.000 0.000 Zr
0.000 0.500 0.000 Zr
0.000 0.000 0.500 Zr
0.000 0.500 0.500 Al
0.500 0.000 0.500 Al
0.500 0.500 0.000 Al
```

***

This record from the Alexandria database describes Zr2AlCu after structural relaxation. The functional is PBE-GGA.

E_form: -1.09 eV/f.u.
space-group type: Amm2
volume: 75.44 Å³/cell
magnetic moment: 0.00 μB per cell

POSCAR file:
```
Zr2AlCu
1.0
4.171 0.000 0.000
0.000 3.332 0.243
0.000 1.269 5.521
Cu Zr Al
1 2 1
Direct
0.500 0.557 0.761 Cu
0.000 0.963 0.949 Zr
0.500 0.289 0.297 Zr
0.000 0.691 0.493 Al
```

***

This record from the Alexandria database describes ZrAl3Cu after structural relaxation. The functional is PBE-GGA.

ΔE to the lowest computed polymorph: 207 meV per atom
E_form: -0.37 eV/f.u.
space-group type: Pm-3m
volume: 262.67 Å³/cell
magnetic moment: 0.00 μB per cell

POSCAR file:
```
ZrAl3Cu
1.0
6.404 0.000 0.000
0.000 6.404 0.000
0.000 0.000 6.404
Cu Zr Al
3 3 9
Direct
0.000 0.500 0.500 Cu
0.500 0.000 0.500 Cu
0.500 0.500 0.000 Cu
0.500 0.000 0.000 Zr
0.000 0.500 0.000 Zr
0.000 0.000 0.500 Zr
0.500 0.500 0.500 Al
0.269 0.269 0.269 Al
0.731 0.731 0.269 Al
0.731 0.269 0.731 Al
0.269 0.731 0.731 Al
0.269 0.269 0.731 Al
0.731 0.731 0.731 Al
0.269 0.731 0.269 Al
0.731 0.269 0.269 Al
```

***

This record from the Alexandria database describes Zr2AlCu after structural relaxation. The functional is PBE-GGA.

E_form: -0.06 eV/f.u.
space-group type: C2/m
volume: 76.94 Å³/cell
magnetic moment: 0.00 μB per cell

POSCAR file:
```
Zr2AlCu
1.0
-2.354 1.983 0.121
0.808 -1.587 2.521
5.881 6.837 2.426
Cu Zr Al
1 2 1
Direct
0.000 0.000 0.500 Cu
0.668 0.336 0.264 Zr
0.332 0.664 0.736 Zr
0.000 0.000 0.000 Al
```

***

This record from the Alexandria database describes Zr3Al2Cu4 after structural relaxation. The functional is PBE-GGA.

E_form: -2.47 eV/f.u.
space-group type: C2/m
volume: 150.64 Å³/cell
magnetic moment: 0.00 μB per cell

POSCAR file:
```
Zr3Al2Cu4
1.0
4.238 0.000 0.000
-2.119 4.907 -0.571
0.000 -2.804 7.570
Zr Al Cu
3 2 4
Direct
0.655 0.311 0.683 Zr
0.000 0.000 0.000 Zr
0.345 0.689 0.317 Zr
0.627 0.254 0.292 Al
0.373 0.746 0.708 Al
0.708 0.417 0.045 Cu
0.292 0.583 0.955 Cu
0.914 0.828 0.580 Cu
0.086 0.172 0.420 Cu
```

***

This record from the Alexandria database describes Zr3Al3Cu after structural relaxation. The functional is PBE-GGA.

ΔE to the lowest computed polymorph: 72 meV per atom
E_form: -1.23 eV/f.u.
space-group type: Pmmn
volume: 273.28 Å³/cell
magnetic moment: 0.00 μB per cell

POSCAR file:
```
Zr3Al3Cu
1.0
3.271 0.000 0.000
0.000 7.451 0.000
0.000 0.000 11.213
Cu Zr Al
2 6 6
Direct
0.250 0.750 0.290 Cu
0.750 0.250 0.710 Cu
0.250 0.469 0.849 Zr
0.250 0.031 0.849 Zr
0.750 0.969 0.151 Zr
0.750 0.531 0.151 Zr
0.250 0.250 0.328 Zr
0.750 0.750 0.672 Zr
0.250 0.436 0.584 Al
0.250 0.064 0.584 Al
0.750 0.936 0.416 Al
0.750 0.564 0.416 Al
0.250 0.250 0.062 Al
0.750 0.750 0.938 Al
```

***

This record from the Alexandria database describes ZrAl6Cu after structural relaxation. The functional is PBE-GGA.

ΔE to the lowest computed polymorph: 0 meV per atom
E_form: -1.36 eV/f.u.
space-group type: P4/mmm
volume: 133.35 Å³/cell
magnetic moment: 0.00 μB per cell

POSCAR file:
```
ZrAl6Cu
1.0
-3.493 1.942 0.149
-1.860 -3.657 4.063
2.109 3.478 4.099
Zr Al Cu
1 6 1
Direct
0.500 0.000 0.000 Zr
0.000 0.743 0.257 Al
0.000 0.257 0.743 Al
0.000 0.743 0.743 Al
0.000 0.257 0.257 Al
0.500 0.500 0.000 Al
0.500 0.000 0.500 Al
0.500 0.500 0.500 Cu
```

***

This record from the Alexandria database describes Zr2AlCu2 after structural relaxation. The functional is PBE-GGA.

E_form: -0.14 eV/f.u.
space-group type: I4/mmm
volume: 90.70 Å³/cell
magnetic moment: 0.00 μB per cell

POSCAR file:
```
Zr2AlCu2
1.0
3.240 0.000 0.000
0.000 3.240 0.000
1.620 1.620 8.638
Cu Zr Al
2 2 1
Direct
0.750 0.250 0.500 Cu
0.250 0.750 0.500 Cu
0.389 0.389 0.221 Zr
0.611 0.611 0.779 Zr
0.000 0.000 0.000 Al
```

***

This record from the Alexandria database describes ZrAl3Cu after structural relaxation. The functional is PBE-GGA.

ΔE to the lowest computed polymorph: 33 meV per atom
E_form: -1.24 eV/f.u.
space-group type: Cmmm
volume: 174.97 Å³/cell
magnetic moment: 0.00 μB per cell

POSCAR file:
```
ZrAl3Cu
1.0
-2.900 -2.134 -0.384
0.296 -1.126 4.018
-7.016 9.361 0.962
Zr Al Cu
2 6 2
Direct
0.500 0.832 0.663 Zr
0.500 0.168 0.337 Zr
0.000 0.059 0.119 Al
0.000 0.941 0.881 Al
0.000 0.279 0.558 Al
0.000 0.721 0.442 Al
0.500 0.445 0.890 Al
0.500 0.555 0.110 Al
0.000 0.621 0.242 Cu
0.000 0.379 0.758 Cu
```

***

This record from the Alexandria database describes Zr3Al3Cu after structural relaxation. The functional is PBE-GGA.

ΔE to the lowest computed polymorph: 159 meV per atom
E_form: -0.62 eV/f.u.
space-group type: P6_3/m
volume: 269.18 Å³/cell
magnetic moment: 0.00 μB per cell

POSCAR file:
```
Zr3Al3Cu
1.0
-5.990 -4.057 2.643
6.520 -3.597 -1.968
1.784 0.555 4.895
Cu Zr Al
2 6 6
Direct
0.333 0.667 0.250 Cu
0.667 0.333 0.750 Cu
0.195 0.943 0.250 Zr
0.057 0.252 0.250 Zr
0.748 0.805 0.250 Zr
0.805 0.057 0.750 Zr
0.943 0.748 0.750 Zr
0.252 0.195 0.750 Zr
0.485 0.379 0.250 Al
0.621 0.105 0.250 Al
0.895 0.516 0.250 Al
0.515 0.621 0.750 Al
0.379 0.895 0.750 Al
0.105 0.484 0.750 Al
```

***

This record from the Alexandria database describes Zr2Al3Cu after structural relaxation. The functional is PBE-GGA.

E_form: -0.41 eV/f.u.
space-group type: C2/m
volume: 217.87 Å³/cell
magnetic moment: 0.00 μB per cell

POSCAR file:
```
Zr2Al3Cu
1.0
5.937 -0.013 0.026
-2.960 5.147 -0.026
-0.027 0.015 7.139
Zr Cu Al
4 2 6
Direct
0.000 0.000 0.000 Zr
0.500 0.000 0.000 Zr
0.000 0.500 0.000 Zr
0.500 0.500 0.000 Zr
0.334 0.666 0.357 Cu
0.666 0.334 0.643 Cu
0.169 0.831 0.653 Al
0.169 0.337 0.653 Al
0.663 0.831 0.653 Al
0.831 0.169 0.347 Al
0.337 0.169 0.347 Al
0.831 0.663 0.347 Al
```

***

This record from the Alexandria database describes Zr4AlCu after structural relaxation. The functional is PBE-GGA.

ΔE to the lowest computed polymorph: 191 meV per atom
E_form: -0.18 eV/f.u.
space-group type: Pmma
volume: 247.23 Å³/cell
magnetic moment: 0.00 μB per cell

POSCAR file:
```
Zr4AlCu
1.0
-1.270 -2.262 1.674
6.878 -0.850 4.068
-3.124 6.698 6.681
Cu Zr Al
2 8 2
Direct
0.000 0.517 0.250 Cu
0.000 0.483 0.750 Cu
0.500 0.327 0.039 Zr
0.500 0.327 0.461 Zr
0.500 0.673 0.961 Zr
0.500 0.673 0.539 Zr
0.500 0.831 0.250 Zr
0.500 0.169 0.750 Zr
0.000 0.000 0.000 Zr
0.000 0.000 0.500 Zr
0.000 0.170 0.250 Al
0.000 0.830 0.750 Al
```

***

This record from the Alexandria database describes Zr2AlCu after structural relaxation. The functional is PBE-GGA.

E_form: -0.34 eV/f.u.
space-group type: P6_3/mmc
volume: 155.33 Å³/cell
magnetic moment: 0.00 μB per cell

POSCAR file:
```
Zr2AlCu
1.0
-3.714 -1.891 -0.938
3.650 -1.559 -1.581
0.950 -5.781 7.891
Zr Al Cu
4 2 2
Direct
0.667 0.333 0.596 Zr
0.333 0.667 0.096 Zr
0.333 0.667 0.404 Zr
0.667 0.333 0.904 Zr
0.667 0.333 0.250 Al
0.333 0.667 0.750 Al
0.000 0.000 0.250 Cu
0.000 0.000 0.750 Cu
```

***

This record from the Alexandria database describes Zr3Al2Cu after structural relaxation. The functional is PBE-GGA.

ΔE to the lowest computed polymorph: 0 meV per atom
E_form: -1.78 eV/f.u.
space-group type: Cmmm
volume: 113.64 Å³/cell
magnetic moment: 0.00 μB per cell

POSCAR file:
```
Zr3Al2Cu
1.0
-2.235 5.671 -3.851
-1.498 -6.106 3.531
-0.577 2.253 3.652
Zr Al Cu
3 2 1
Direct
0.339 0.661 0.000 Zr
0.661 0.339 0.000 Zr
0.500 0.500 0.500 Zr
0.175 0.825 0.500 Al
0.825 0.175 0.500 Al
0.000 0.000 0.000 Cu
```

***

This record from the Alexandria database describes Zr3Al3Cu after structural relaxation. The functional is PBE-GGA.

ΔE to the lowest computed polymorph: 0 meV per atom
E_form: -1.73 eV/f.u.
space-group type: P6_3/m
volume: 259.11 Å³/cell
magnetic moment: 0.00 μB per cell

POSCAR file:
```
Zr3Al3Cu
1.0
-6.338 3.251 -3.244
3.477 -6.098 -3.462
-2.857 -3.058 2.518
Cu Zr Al
2 6 6
Direct
0.667 0.333 0.250 Cu
0.333 0.667 0.750 Cu
0.361 0.904 0.250 Zr
0.096 0.457 0.250 Zr
0.543 0.639 0.250 Zr
0.639 0.096 0.750 Zr
0.904 0.543 0.750 Zr
0.457 0.361 0.750 Zr
0.948 0.764 0.250 Al
0.236 0.184 0.250 Al
0.816 0.052 0.250 Al
0.052 0.236 0.750 Al
0.764 0.816 0.750 Al
0.184 0.948 0.750 Al
```

***

This record from the Alexandria database describes ZrAl2Cu4 after structural relaxation. The functional is PBE-GGA.

ΔE to the lowest computed polymorph: 387 meV per atom
E_form: 0.84 eV/f.u.
space-group type: P-3m1
volume: 106.94 Å³/cell
magnetic moment: 0.00 μB per cell

POSCAR file:
```
ZrAl2Cu4
1.0
0.530 0.571 -2.676
-1.764 1.604 1.444
12.087 9.341 4.388
Zr Al Cu
1 2 4
Direct
0.000 0.000 0.500 Zr
0.333 0.667 0.190 Al
0.667 0.333 0.810 Al
0.333 0.667 0.937 Cu
0.667 0.333 0.063 Cu
0.333 0.667 0.348 Cu
0.667 0.333 0.652 Cu
```

***

This record from the Alexandria database describes Zr2AlCu after structural relaxation. The functional is PBE-GGA.

E_form: 1.17 eV/f.u.
space-group type: P-6m2
volume: 80.73 Å³/cell
magnetic moment: 0.00 μB per cell

POSCAR file:
```
Zr2AlCu
1.0
3.016 0.000 0.000
-1.508 2.612 0.000
0.000 0.000 10.247
Cu Zr Al
1 2 1
Direct
0.333 0.667 0.500 Cu
0.000 0.000 0.280 Zr
0.000 0.000 0.720 Zr
0.000 0.000 0.000 Al
```

***

This record from the Alexandria database describes Zr3AlCu2 after structural relaxation. The functional is PBE-GGA.

ΔE to the lowest computed polymorph: 128 meV per atom
E_form: -0.65 eV/f.u.
space-group type: Cmmm
volume: 109.08 Å³/cell
magnetic moment: 0.00 μB per cell

POSCAR file:
```
Zr3AlCu2
1.0
0.221 6.847 -1.610
-3.584 -5.140 3.204
1.960 0.727 3.358
Zr Al Cu
3 1 2
Direct
0.333 0.667 0.000 Zr
0.667 0.333 0.000 Zr
0.500 0.500 0.500 Zr
0.000 0.000 0.000 Al
0.161 0.839 0.500 Cu
0.839 0.161 0.500 Cu
```

***

This record from the Alexandria database describes Zr2AlCu after structural relaxation. The functional is PBE-GGA.

E_form: -0.08 eV/f.u.
space-group type: C2/m
volume: 75.94 Å³/cell
magnetic moment: 0.00 μB per cell

POSCAR file:
```
Zr2AlCu
1.0
-4.817 -1.940 0.871
-2.918 -3.369 2.803
-1.749 2.843 3.821
Zr Cu Al
2 1 1
Direct
0.993 0.993 0.004 Zr
0.507 0.507 0.496 Zr
0.250 0.250 0.250 Cu
0.750 0.750 0.750 Al
```

***

This record from the Alexandria database describes Zr3Al4Cu2 after structural relaxation. The functional is PBE-GGA.

E_form: -3.98 eV/f.u.
space-group type: C2/m
volume: 157.15 Å³/cell
magnetic moment: 0.00 μB per cell

POSCAR file:
```
Zr3Al4Cu2
1.0
4.342 0.000 0.000
-2.171 4.605 -1.762
0.000 -0.702 8.128
Zr Al Cu
3 4 2
Direct
0.658 0.316 0.673 Zr
0.000 0.000 0.000 Zr
0.342 0.684 0.327 Zr
0.719 0.437 0.062 Al
0.281 0.563 0.938 Al
0.930 0.860 0.605 Al
0.070 0.140 0.395 Al
0.626 0.252 0.294 Cu
0.374 0.748 0.706 Cu
```